Entry 1:
Compound: HoTi4Co5
Source: Alexandria
Functional: PBE-GGA
Structure: relaxed

Unit cell a=3.009 b=3.009 c=15.556 alpha=90.00 beta=90.00 gamma=90.00
Each line ends with the local moment (μB).
Fractional coordinates of all 10 atoms:
Co  0.500  0.500  0.316  -0.02
Co  0.500  0.500  0.866  0.27
Co  0.500  0.500  0.134  0.27
Co  0.500  0.500  0.500  -0.02
Co  0.500  0.500  0.684  -0.02
Ti  0.000  0.000  0.786  -0.05
Ti  0.000  0.000  0.214  -0.05
Ti  0.000  0.000  0.595  0.01
Ti  0.000  0.000  0.405  0.01
Ho  0.000  0.000  0.000  -0.04

## Properties
The value obtained for the calculated total energy is -7.516 eV per atom. For the volume, the calculation gives 14.08 A^3/atom. The calculation puts the formation enthalpy at 0 K at -33.5 kJ/mol of atoms. As for the symmetry: No. 123.

=====

Entry 2:
Compound: Fe3IBr
Source: Alexandria
Functional: PBE-GGA
Structure: relaxed

Unit cell a=4.637 b=4.637 c=4.637 alpha=90.00 beta=90.00 gamma=90.00
Each line ends with the local moment (μB).
Fractional coordinates of all 5 atoms:
Fe  0.500  0.000  0.000  2.93
Fe  0.000  0.500  0.000  2.76
Fe  0.000  0.000  0.500  2.31
I  0.500  0.500  0.500  0.16
Br  0.000  0.000  0.000  0.00

## Properties
The value obtained for the calculated total energy is -4.582 eV per atom. The formation energy from raw total energies comes out at 1.1407 eV/atom. For the volume, the calculation gives 19.94 A^3/atom. As for the symmetry: No. 221.